First-principles (PBE-GGA) data for a geometry-optimized LaHg5Pt structure, as listed in Alexandria.

Unit cell a=4.9782 b=4.9782 c=7.1957 alpha=90.00 beta=90.00 gamma=90.00
Closest atoms and distances in Å follow each position.
Positions (direct):
1 La 0.0000 0.0000 0.0000  12 Hg 3.27-3.52, 2 Pt 3.60
2 Hg 0.5000 0.0000 0.7046  2 Pt 2.89, 1 Hg 2.94
3 Hg 0.0000 0.5000 0.7046  2 Pt 2.89, 1 Hg 2.94
4 Hg 0.5000 0.5000 0.0000  8 Hg 3.27, 4 La 3.52
5 Hg 0.0000 0.5000 0.2954  2 Pt 2.89, 1 Hg 2.94
6 Hg 0.5000 0.0000 0.2954  2 Pt 2.89, 1 Hg 2.94
7 Pt 0.0000 0.0000 0.5000  8 Hg 2.89

Output
Energy of formation in eV per formula unit: -2.180
Calculated total energy in eV per atom: -2.09
V in Å³ per cell: 178.3